DFT (PBE-GGA) results for a relaxed structure of TbSmYTm.

DFT formation energy (meV per atom): 21.7
Density of states at the Fermi level (states/eV/atom): 1.45
Energy relative to the lowest polymorph listed for this composition (meV/atom): 0.0

Lattice parameters (Å, degrees): 5.0442 5.0442 10.0474 90.00 90.00 90.00
Space group I-4m2 (No. 119)
Symmetry-distinct sites (fractional):
Tb 0.0000 0.0000 0.0000 x2
Sm 0.0000 0.5000 0.7500 x2
Y 0.0000 0.0000 0.5000 x2
Tm 0.0000 0.5000 0.2500 x2


DFT (PBE-GGA) results for a relaxed structure of Tb2Sm6Y3Tm.

DFT formation energy (meV per atom): 13.7
Density of states at the Fermi level (states/eV/atom): 1.25

Lattice parameters (Å, degrees): 6.2292 10.7857 11.8465 90.00 100.06 90.00
Space group C2/m (No. 12)
Symmetry-distinct sites (fractional):
Tb 0.0000 0.1666 0.0000 x4
Sm 0.2503 0.0000 0.2491 x4
Sm 0.2504 0.1664 0.7512 x8
Y 0.0000 0.0000 0.5000 x2
Y 0.0000 0.3334 0.5000 x4
Tm 0.0000 0.5000 0.0000 x2


DFT (PBE-GGA) results for a relaxed structure of Tb2Sm2YTm4.

DFT formation energy (meV per atom): -1.4
Density of states at the Fermi level (states/eV/atom): 1.39

Lattice parameters (Å, degrees): 18.5670 3.5756 9.5055 90.00 115.78 90.00
Space group C2/m (No. 12)
Symmetry-distinct sites (fractional):
Tb 0.1473 0.0000 0.1633 x4
Sm 0.1661 0.5000 0.5009 x4
Y 0.0000 0.0000 0.5000 x2
Tm 0.0196 0.5000 0.8356 x4
Tm 0.1854 0.0000 0.8366 x4


DFT (PBE-GGA) results for a relaxed structure of Tb2Sm2YTm2.

DFT formation energy (meV per atom): 89.1
Density of states at the Fermi level (states/eV/atom): 1.63

Lattice parameters (Å, degrees): 11.6702 3.5144 11.7853 90.00 109.42 90.00
Space group C2/m (No. 12)
Symmetry-distinct sites (fractional):
Tb 0.0515 0.0000 0.2705 x4
Sm 0.1701 0.0000 0.5844 x4
Y 0.0000 0.5000 0.0000 x2
Tm 0.2250 0.5000 0.8627 x4


DFT (PBE-GGA) results for a relaxed structure of Tb2Sm6YTm.

DFT formation energy (meV per atom): 114.9
Density of states at the Fermi level (states/eV/atom): 1.34

Lattice parameters (Å, degrees): 9.1483 15.2827 9.6141 90.00 97.38 90.00
Space group C2/c (No. 15)
Symmetry-distinct sites (fractional):
Tb 0.2479 0.0522 0.4558 x8
Sm 0.0590 0.3169 0.9456 x8
Sm 0.1036 0.1071 0.1188 x8
Sm 0.2091 0.2767 0.3121 x8
Y 0.0000 0.4759 0.2500 x4
Tm 0.0000 0.0894 0.7500 x4


DFT (PBE-GGA) results for a relaxed structure of TbSmTmZn.

DFT formation energy (meV per atom): -162.7
Density of states at the Fermi level (states/eV/atom): 1.14
Energy relative to the lowest polymorph listed for this composition (meV/atom): 0.0

Lattice parameters (Å, degrees): 3.5647 3.5647 8.6567 90.00 90.00 90.00
Space group P4mm (No. 99)
Symmetry-distinct sites (fractional):
Tb 0.0000 0.0000 0.0000 x1
Sm 0.5000 0.5000 0.2991 x1
Tm 0.0000 0.0000 0.5928 x1
Zn 0.5000 0.5000 0.7890 x1


DFT (PBE-GGA) results for a relaxed structure of TbSmTmZn.

DFT formation energy (meV per atom): 24.1
Density of states at the Fermi level (states/eV/atom): 1.16
Energy relative to the lowest polymorph listed for this composition (meV/atom): 186.8

Lattice parameters (Å, degrees): 7.5623 7.5623 7.5623 90.00 90.00 90.00
Space group F-43m (No. 216)
Symmetry-distinct sites (fractional):
Tb 0.0000 0.0000 0.0000 x4
Sm 0.0000 0.0000 0.5000 x4
Tm 0.2500 0.2500 0.7500 x4
Zn 0.2500 0.2500 0.2500 x4


DFT (PBE-GGA) results for a relaxed structure of Tb6Sm3Tm2Zr.

DFT formation energy (meV per atom): 42.9
Density of states at the Fermi level (states/eV/atom): 1.22

Lattice parameters (Å, degrees): 6.1188 10.5787 11.6888 90.00 99.96 90.00
Space group C2/m (No. 12)
Symmetry-distinct sites (fractional):
Tb 0.2442 0.1636 0.2416 x8
Tb 0.2463 0.0000 0.7587 x4
Sm 0.0000 0.1664 0.5000 x4
Sm 0.0000 0.5000 0.5000 x2
Tm 0.0000 0.3332 0.0000 x4
Zr 0.0000 0.0000 0.0000 x2


DFT (PBE-GGA) results for a relaxed structure of TbSmTmZr.

DFT formation energy (meV per atom): 222.3
Density of states at the Fermi level (states/eV/atom): 1.94

Lattice parameters (Å, degrees): 7.7783 7.7783 7.7783 90.00 90.00 90.00
Space group F-43m (No. 216)
Symmetry-distinct sites (fractional):
Tb 0.0000 0.0000 0.0000 x4
Sm 0.2500 0.2500 0.7500 x4
Tm 0.0000 0.0000 0.5000 x4
Zr 0.2500 0.2500 0.2500 x4


DFT (PBE-GGA) results for a relaxed structure of Tb6Sm2Tm3Zr.

DFT formation energy (meV per atom): 51.0
Density of states at the Fermi level (states/eV/atom): 1.23

Lattice parameters (Å, degrees): 6.0987 10.5455 11.6498 90.00 99.96 90.00
Space group C2/m (No. 12)
Symmetry-distinct sites (fractional):
Tb 0.2439 0.0000 0.2524 x4
Tb 0.2462 0.1634 0.7481 x8
Sm 0.0000 0.3332 0.5000 x4
Tm 0.0000 0.1664 0.0000 x4
Tm 0.0000 0.5000 0.0000 x2
Zr 0.0000 0.0000 0.5000 x2


DFT (PBE-GGA) results for a relaxed structure of Tb2SmU.

DFT formation energy (meV per atom): 465.5
Density of states at the Fermi level (states/eV/atom): 1.92

Lattice parameters (Å, degrees): 3.3135 3.3135 36.9919 90.00 90.00 120.00
Space group R-3m (No. 166, hexagonal axes)
Symmetry-distinct sites (fractional):
Tb 0.0000 0.0000 0.0865 x6
Sm 0.0000 0.0000 0.5000 x3
U 0.0000 0.0000 0.0000 x3


DFT (PBE-GGA) results for a relaxed structure of Tb2SmV.

DFT formation energy (meV per atom): 613.7
Density of states at the Fermi level (states/eV/atom): 1.49

Lattice parameters (Å, degrees): 3.3917 3.3917 34.5885 90.00 90.00 120.00
Space group R-3m (No. 166, hexagonal axes)
Symmetry-distinct sites (fractional):
Tb 0.0000 0.0000 0.0810 x6
Sm 0.0000 0.0000 0.5000 x3
V 0.0000 0.0000 0.0000 x3